No. 1
The following is a PBE calculation of an optimized crystal structure of PdOF3, from Alexandria.

Values from the calculation:
- DOS at the Fermi energy: 4.15 states/eV/f.u.
- Uncorrected formation energy: -330 meV per atom

Cell lengths 4.095, 4.095, 4.095 Å; angles 90.00, 90.00, 90.00 degrees
Element x y z (fractional)
Pd  0.000  0.000  0.000
O  0.500  0.500  0.500
F  0.000  0.000  0.500
F  0.000  0.500  0.000
F  0.500  0.000  0.000

No. 2
The following is a PBE calculation of an optimized crystal structure of Pd2OF, from Alexandria.

Values from the calculation:
- DOS at the Fermi energy: 3.10 states/eV/f.u.
- Uncorrected formation energy: -187 meV per atom

Cell lengths 7.467, 7.467, 7.467 Å; angles 22.14, 22.14, 22.14 degrees
Element x y z (fractional)
Pd  0.094  0.094  0.094
Pd  0.906  0.906  0.906
O  0.500  0.500  0.500
F  0.000  0.000  0.000

No. 3
The following is a PBE calculation of an optimized crystal structure of PdOF3, from Alexandria.

Values from the calculation:
- DOS at the Fermi energy: 2.27 states/eV/f.u.
- Uncorrected formation energy: -634 meV per atom

Cell lengths 5.526, 7.217, 8.161 Å; angles 90.00, 111.93, 90.00 degrees
Element x y z (fractional)
Pd  0.007  0.218  0.455
Pd  0.007  0.282  0.955
Pd  0.993  0.718  0.045
Pd  0.993  0.782  0.545
O  0.276  0.123  0.980
O  0.276  0.377  0.480
O  0.724  0.623  0.520
O  0.724  0.877  0.020
F  0.010  0.692  0.306
F  0.010  0.808  0.806
F  0.251  0.503  0.064
F  0.251  0.997  0.564
F  0.275  0.611  0.656
F  0.275  0.889  0.156
F  0.725  0.111  0.844
F  0.725  0.389  0.344
F  0.749  0.003  0.436
F  0.749  0.497  0.936
F  0.990  0.192  0.194
F  0.990  0.308  0.694

In the order shown, the computed energy above the lowest structure with this stoichiometry values come out to 303.5 67.7 0.0 meV/atom.